Below is a relaxed CrCdPN2 crystal, with properties calculated at the GGA-PBE level.

```
data_CrCdPN2
_chemical_formula_sum 'Cr1 Cd1 P1 N2'
_cell_length_a 3.610
_cell_length_b 3.610
_cell_length_c 5.785
_cell_angle_alpha 90.00
_cell_angle_beta 90.00
_cell_angle_gamma 90.00
_space_group_name_H-M_alt 'P 4/m m m'
_space_group_IT_number 123
_space_group_name_Hall '-P 4 2'
loop_
_atom_site_label
_atom_site_fract_x
_atom_site_fract_y
_atom_site_fract_z
Cr1 0.000 0.000 0.000
Cd1 0.500 0.500 0.000
P1 0.500 0.500 0.500
N1 0.000 0.500 0.500
```

# Ca2Cu3Sn4Rh, optimized geometry, DFT GGA-PBE
# Energy of formation from the pure elements, eV per atom: -0.3563
data_Ca2Cu3Sn4Rh
_chemical_formula_sum 'Ca2 Cu3 Sn4 Rh1'
_cell_length_a 4.522
_cell_length_b 4.522
_cell_length_c 10.698
_cell_angle_alpha 90.00
_cell_angle_beta 90.00
_cell_angle_gamma 90.00
_space_group_name_H-M_alt 'P -4 m 2'
_space_group_IT_number 115
_space_group_name_Hall 'P -4 -2'
loop_
_atom_site_label
_atom_site_fract_x
_atom_site_fract_y
_atom_site_fract_z
Ca1 0.000 0.500 0.239
Cu1 0.000 0.000 0.000
Cu2 0.000 0.500 0.636
Sn1 0.000 0.000 0.500
Sn2 0.000 0.500 0.875
Sn3 0.500 0.500 0.500
Rh1 0.500 0.500 0.000

# Be2ReOs, optimized geometry, DFT GGA-PBE
# Energy of formation from the pure elements, eV per atom: 0.0648
# Excess energy over the best structure of this formula in the dataset, eV/atom: 0.214
data_Be2ReOs
_chemical_formula_sum 'Be8 Re4 Os4'
_cell_length_a 5.644
_cell_length_b 5.644
_cell_length_c 5.644
_cell_angle_alpha 90.00
_cell_angle_beta 90.00
_cell_angle_gamma 90.00
_space_group_name_H-M_alt 'F m -3 m'
_space_group_IT_number 225
_space_group_name_Hall '-F 4 2 3'
loop_
_atom_site_label
_atom_site_fract_x
_atom_site_fract_y
_atom_site_fract_z
Be1 0.250 0.250 0.250
Re1 0.000 0.000 0.000
Os1 0.000 0.000 0.500

# NaAc3Sn4, optimized geometry, DFT GGA-PBE
# Energy of formation from the pure elements, eV per atom: -0.4670
data_NaAc3Sn4
_chemical_formula_sum 'Na2 Ac6 Sn8'
_cell_length_a 4.609
_cell_length_b 7.138
_cell_length_c 18.130
_cell_angle_alpha 90.00
_cell_angle_beta 90.00
_cell_angle_gamma 90.00
_space_group_name_H-M_alt 'I m m m'
_space_group_IT_number 71
_space_group_name_Hall '-I 2 2'
loop_
_atom_site_label
_atom_site_fract_x
_atom_site_fract_y
_atom_site_fract_z
Na1 0.000 0.000 0.000
Ac1 0.000 0.000 0.500
Ac2 0.000 0.500 0.302
Sn1 0.000 0.301 0.127

Below is a relaxed UPa4N10 crystal, with properties calculated at the GGA-PBE level.

```
data_UPa4N10
_chemical_formula_sum 'U2 Pa8 N20'
_cell_length_a 8.541
_cell_length_b 8.541
_cell_length_c 5.392
_cell_angle_alpha 90.00
_cell_angle_beta 90.00
_cell_angle_gamma 90.00
_space_group_name_H-M_alt 'I 4/m'
_space_group_IT_number 87
_space_group_name_Hall '-I 4'
loop_
_atom_site_label
_atom_site_fract_x
_atom_site_fract_y
_atom_site_fract_z
U1 0.000 0.000 0.000
Pa1 0.100 0.300 0.500
N1 0.000 0.500 0.250
N2 0.098 0.804 0.246
```

# Nd3Er2Tm7, optimized geometry, DFT GGA-PBE
# Energy of formation from the pure elements, eV per atom: 0.0909
data_Nd3Er2Tm7
_chemical_formula_sum 'Nd3 Er2 Tm7'
_cell_length_a 5.770
_cell_length_b 3.541
_cell_length_c 18.665
_cell_angle_alpha 90.00
_cell_angle_beta 93.02
_cell_angle_gamma 90.00
_space_group_name_H-M_alt 'P 1 2/m 1'
_space_group_IT_number 10
_space_group_name_Hall '-P 2y'
loop_
_atom_site_label
_atom_site_fract_x
_atom_site_fract_y
_atom_site_fract_z
Nd1 0.000 0.000 0.000
Nd2 0.277 0.500 0.633
Er1 0.211 0.000 0.291
Tm1 0.191 0.500 0.143
Tm2 0.243 0.000 0.462
Tm3 0.306 0.000 0.825
Tm4 0.500 0.500 0.000

# Ag2Bi2Pb, optimized geometry, DFT GGA-PBE
# Energy of formation from the pure elements, eV per atom: 0.1412
# Excess energy over the best structure of this formula in the dataset, eV/atom: 0.044
data_Ag2Bi2Pb
_chemical_formula_sum 'Ag4 Bi4 Pb2'
_cell_length_a 8.974
_cell_length_b 8.974
_cell_length_c 3.371
_cell_angle_alpha 90.00
_cell_angle_beta 90.00
_cell_angle_gamma 90.00
_space_group_name_H-M_alt 'P 4/m b m'
_space_group_IT_number 127
_space_group_name_Hall '-P 4 2ab'
loop_
_atom_site_label
_atom_site_fract_x
_atom_site_fract_y
_atom_site_fract_z
Ag1 0.156 0.344 0.000
Bi1 0.143 0.643 0.500
Pb1 0.000 0.000 0.500

# AgRuRh2, optimized geometry, DFT GGA-PBE
# Energy of formation from the pure elements, eV per atom: 0.1261
# Excess energy over the best structure of this formula in the dataset, eV/atom: 0.000
data_AgRuRh2
_chemical_formula_sum 'Ag1 Ru1 Rh2'
_cell_length_a 2.749
_cell_length_b 2.749
_cell_length_c 7.924
_cell_angle_alpha 90.00
_cell_angle_beta 90.00
_cell_angle_gamma 90.00
_space_group_name_H-M_alt 'P 4/m m m'
_space_group_IT_number 123
_space_group_name_Hall '-P 4 2'
loop_
_atom_site_label
_atom_site_fract_x
_atom_site_fract_y
_atom_site_fract_z
Ag1 0.000 0.000 0.000
Ru1 0.000 0.000 0.500
Rh1 0.500 0.500 0.271

# Dy2IrBr, optimized geometry, DFT GGA-PBE
# Excess energy over the best structure of this formula in the dataset, eV/atom: 0.001
data_Dy2IrBr
_chemical_formula_sum 'Dy6 Ir3 Br3'
_cell_length_a 4.0532
_cell_length_b 4.0532
_cell_length_c 22.7087
_cell_angle_alpha 90.00
_cell_angle_beta 90.00
_cell_angle_gamma 120.00
_space_group_name_H-M_alt 'R -3 m'
_space_group_IT_number 166
_space_group_name_Hall '-R 3 2"'
loop_
_atom_site_label
_atom_site_fract_x
_atom_site_fract_y
_atom_site_fract_z
Dy1 0.0000 0.0000 0.2302
Ir1 0.0000 0.0000 0.5000
Br1 0.0000 0.0000 0.0000

# SrZnRe2, optimized geometry, DFT GGA-PBE
# Energy of formation from the pure elements, eV per atom: 0.7690
data_SrZnRe2
_chemical_formula_sum 'Sr2 Zn2 Re4'
_cell_length_a 2.801
_cell_length_b 4.846
_cell_length_c 10.679
_cell_angle_alpha 90.00
_cell_angle_beta 90.00
_cell_angle_gamma 90.00
_space_group_name_H-M_alt 'I m m m'
_space_group_IT_number 71
_space_group_name_Hall '-I 2 2'
loop_
_atom_site_label
_atom_site_fract_x
_atom_site_fract_y
_atom_site_fract_z
Sr1 0.000 0.000 0.000
Zn1 0.000 0.000 0.500
Re1 0.000 0.500 0.217

# PuAlAg, optimized geometry, DFT GGA-PBE
# Energy of formation from the pure elements, eV per atom: -0.1700
data_PuAlAg
_chemical_formula_sum 'Pu4 Al4 Ag4'
_cell_length_a 5.631
_cell_length_b 5.653
_cell_length_c 7.801
_cell_angle_alpha 90.00
_cell_angle_beta 90.00
_cell_angle_gamma 90.00
_space_group_name_H-M_alt 'I m m a'
_space_group_IT_number 74
_space_group_name_Hall '-I 2b 2'
loop_
_atom_site_label
_atom_site_fract_x
_atom_site_fract_y
_atom_site_fract_z
Pu1 0.000 0.250 0.130
Al1 0.000 0.000 0.500
Ag1 0.250 0.250 0.750

Below is a relaxed AcLa2US8 crystal, with properties calculated at the GGA-PBE level.

```
data_AcLa2US8
_chemical_formula_sum 'Ac1 La2 U1 S8'
_cell_length_a 4.769
_cell_length_b 6.919
_cell_length_c 9.301
_cell_angle_alpha 90.00
_cell_angle_beta 90.00
_cell_angle_gamma 90.00
_space_group_name_H-M_alt 'P m m m'
_space_group_IT_number 47
_space_group_name_Hall '-P 2 2'
loop_
_atom_site_label
_atom_site_fract_x
_atom_site_fract_y
_atom_site_fract_z
Ac1 0.000 0.000 0.000
La1 0.500 0.500 0.250
U1 0.000 0.000 0.500
S1 0.000 0.242 0.281
S2 0.500 0.214 0.500
S3 0.500 0.259 0.000
```

Total energy
In order: -5.121 -4.322 -7.718 -4.174 -10.123 -4.470 -3.293 -6.581 -6.053 -6.194 -7.145 -6.512
Unit: eV per atom